A relaxed structure of Tb3SmTl4, computed with PBE-GGA.

```
Tb3SmTl4
1.0
5.4293 0.0000 0.0000
0.0000 5.4293 0.0000
0.0000 0.0000 7.5738
Tb Sm Tl
3 1 4
Direct
0.0000 0.0000 0.0000
0.0000 0.0000 0.5000
0.5000 0.5000 0.0000
0.5000 0.5000 0.5000
0.0000 0.5000 0.2472
0.0000 0.5000 0.7528
0.5000 0.0000 0.2472
0.5000 0.0000 0.7528
```

Values from the calculation:
Size of the total moment, μB per cell: 0.00
Energy relative to the lowest polymorph listed for this composition, meV/atom: 0